Record 1
DySc2In PBE optimized geometry; space group = Cmcm, No. 63; energy of formation = -0.1232 eV per atom; polymorph energy (0 for the lowest one) = 142 meV/atom
1.0
-1.2780 0.4318 2.9563
-4.8282 -2.1594 -3.5576
2.4066 -9.3451 2.4055
Dy Sc In
2 4 2
direct
0.2645 0.5289 0.2500
0.7355 0.4711 0.7500
0.3724 0.7447 0.9757
0.6276 0.2553 0.0243
0.6276 0.2553 0.4757
0.3724 0.7447 0.5243
0.9973 0.9946 0.2500
0.0027 0.0054 0.7500

Record 2
LiCd2GeRh PBE optimized geometry; space group = P4/mmm, No. 123; energy of formation = -0.0476 eV per atom
1.0
-2.5240 2.9154 3.5042
-0.3640 -3.6836 2.8025
4.5401 1.2488 2.2311
Ge Li Rh Cd
1 1 1 2
direct
0.0000 0.5000 0.0000
0.5000 0.5000 0.5000
0.0000 0.0000 0.0000
0.0000 0.0000 0.5000
0.5000 0.0000 0.0000

Record 3
K3PmBi2Te6 PBE optimized geometry; space group = C2/m, No. 12; formation energy without anion corrections = -10.6 eV per formula unit
1.0
7.9686 -0.0010 0.0007
-3.9832 6.9017 0.0007
-1.3285 -2.3002 8.2786
K Pm Bi Te
3 1 2 6
direct
0.1683 0.8317 0.5000
0.8317 0.1683 0.5000
0.5000 0.5000 0.5000
0.0000 0.0000 0.0000
0.3335 0.6665 0.0000
0.6665 0.3335 0.0000
0.9297 0.5949 0.7886
0.7361 0.7361 0.2123
0.0703 0.4051 0.2114
0.5949 0.9297 0.7886
0.2639 0.2639 0.7877
0.4051 0.0703 0.2114

So what do the calculations give for mass density? Going down the list: 6.1 5.4 5.3 g/cm3.
So what do the calculations give for total magnetization? Going down the list: 0.00 0.00 0.00 μB per formula unit.
So what do the calculations give for raw total energy? Going down the list: -20.496 -15.951 -45.259 eV/f.u..